Record 1
First-principles (GGA-PBE) data for Nd3Si2Ni2 after structural relaxation, as listed in Alexandria via LeMat-Bulk.

Unit cell a=5.6651 b=7.9707 c=12.7885 alpha=90.00 beta=90.00 gamma=90.00
Closest atoms and distances in Å follow each position.
Fractional coordinates of all 28 atoms:
Ni 0.3886 0.5313 0.5878  3 Si 2.45-2.51, 1 Ni 2.62
Ni 0.6114 0.4687 0.4122  3 Si 2.45-2.51, 1 Ni 2.62
Ni 0.3886 0.9687 0.4122  3 Si 2.45-2.51, 1 Ni 2.62
Ni 0.6114 0.0313 0.5878  3 Si 2.45-2.51, 1 Ni 2.62
Ni 0.6114 0.0313 0.9122  3 Si 2.45-2.51, 1 Ni 2.62
Ni 0.3886 0.5313 0.9122  3 Si 2.45-2.51, 1 Ni 2.62
Ni 0.3886 0.9687 0.0878  3 Si 2.45-2.51, 1 Ni 2.62
Ni 0.6114 0.4687 0.0878  3 Si 2.45-2.51, 1 Ni 2.62
Si 0.1731 0.5899 0.7500  2 Ni 2.45
Si 0.8269 0.0899 0.7500  2 Ni 2.45
Si 0.3713 0.2500 0.5000  4 Ni 2.48-2.51
Si 0.6287 0.7500 0.5000  4 Ni 2.48-2.51
Si 0.1731 0.9101 0.2500  2 Ni 2.45
Si 0.6287 0.7500 0.0000  4 Ni 2.48-2.51
Si 0.3713 0.2500 0.0000  4 Ni 2.48-2.51
Si 0.8269 0.4101 0.2500  2 Ni 2.45
Nd 0.6467 0.7394 0.7500  5 Si 2.94-3.21, 4 Ni 3.03-3.12
Nd 0.1312 0.8865 0.6011  4 Ni 2.90-3.19, 2 Si 3.04
Nd 0.3533 0.2394 0.7500  5 Si 2.94-3.21, 4 Ni 3.03-3.12
Nd 0.8688 0.3865 0.6011  4 Ni 2.90-3.19, 2 Si 3.04
Nd 0.8688 0.1135 0.3989  4 Ni 2.90-3.19, 2 Si 3.04
Nd 0.1312 0.6135 0.1011  4 Ni 2.90-3.19, 2 Si 3.04
Nd 0.1312 0.8865 0.8989  4 Ni 2.90-3.19, 2 Si 3.04
Nd 0.3533 0.2606 0.2500  5 Si 2.94-3.21, 4 Ni 3.03-3.12
Nd 0.1312 0.6135 0.3989  4 Ni 2.90-3.19, 2 Si 3.04
Nd 0.8688 0.3865 0.8989  4 Ni 2.90-3.19, 2 Si 3.04
Nd 0.6467 0.7606 0.2500  5 Si 2.94-3.21, 4 Ni 3.03-3.12
Nd 0.8688 0.1135 0.1011  4 Ni 2.90-3.19, 2 Si 3.04

Distance to the lowest polymorph of the same formula   0.0 kJ per mole of atoms
SG   No. 57
Total magnetic moment   0.0000 μB/atom

Record 2
First-principles (GGA-PBE) data for Nd2SiNi5 after structural relaxation, as listed in Alexandria via LeMat-Bulk.

Unit cell a=5.9167 b=5.9167 c=5.9167 alpha=84.65 beta=123.13 gamma=123.13
Closest atoms and distances in Å follow each position.
Fractional coordinates of all 8 atoms:
Ni 0.5605 0.2646 0.2646  1 Si 2.26, 3 Ni 2.43-2.48
Ni 0.0000 0.7040 0.2646  1 Si 2.26, 3 Ni 2.43-2.48
Ni 0.0000 0.2646 0.7040  1 Si 2.26, 3 Ni 2.43-2.48
Ni 0.0000 0.2917 0.2917  1 Si 2.31, 4 Ni 2.43
Ni 0.4395 0.7040 0.7040  1 Si 2.26, 3 Ni 2.43-2.48
Nd 0.5000 0.2331 0.7331  10 Ni 2.86-2.98
Nd 0.5000 0.7331 0.2331  10 Ni 2.86-2.98
Si 0.0000 0.0271 0.0271  5 Ni 2.26-2.31

SG   No. 107
Total magnetic moment   0.0000 μB/atom
Raw total energy   -46.7 eV for the cell shown

Record 3
First-principles (GGA-PBE) data for Nd2Si3Ni5 after structural relaxation, as listed in Alexandria via LeMat-Bulk.

Unit cell a=3.9409 b=6.4460 c=12.9679 alpha=90.00 beta=98.74 gamma=90.00
Closest atoms and distances in Å follow each position.
Fractional coordinates of all 20 atoms:
Nd 0.5221 0.2689 0.0443  3 Ni 2.81-3.13, 3 Si 2.90-2.98
Nd 0.8235 0.2771 0.6470  7 Ni 2.81-3.11, 4 Si 3.05-3.11
Nd 0.1765 0.7771 0.3530  7 Ni 2.81-3.11, 4 Si 3.05-3.11
Nd 0.4779 0.7689 0.9557  3 Ni 2.81-3.13, 3 Si 2.90-2.98
Ni 0.8683 0.7734 0.7366  4 Si 2.42-2.58, 1 Ni 2.54
Ni 0.7071 0.4116 0.4142  3 Si 2.29-2.37, 1 Ni 2.53
Ni 0.2929 0.9116 0.5858  3 Si 2.29-2.37, 1 Ni 2.53
Ni 0.2672 0.5333 0.5345  3 Si 2.29-2.32, 1 Ni 2.53
Ni 0.1317 0.2734 0.2634  4 Si 2.42-2.58, 1 Ni 2.54
Ni 0.7328 0.0333 0.4655  3 Si 2.29-2.32, 1 Ni 2.53
Ni 0.9277 0.0891 0.8555  3 Si 2.40-2.46, 3 Ni 2.53-2.54
Ni 0.4134 0.3282 0.8267  3 Si 2.23-2.32
Ni 0.0723 0.5891 0.1445  3 Si 2.40-2.46, 3 Ni 2.53-2.54
Ni 0.5866 0.8282 0.1733  3 Si 2.23-2.32
Si 0.7749 0.7198 0.5498  6 Ni 2.29-2.42
Si 0.9338 0.4698 0.8676  3 Ni 2.23-2.46
Si 0.3799 0.9936 0.7599  6 Ni 2.29-2.45
Si 0.2251 0.2198 0.4502  6 Ni 2.29-2.42
Si 0.6201 0.4936 0.2401  6 Ni 2.29-2.45
Si 0.0662 0.9698 0.1324  3 Ni 2.23-2.46

Distance to the lowest polymorph of the same formula   11.5 kJ per mole of atoms
SG   No. 36
Total magnetic moment   0.0000 μB/atom

Record 4
First-principles (GGA-PBE) data for NdSiNi3 after structural relaxation, as listed in Alexandria via LeMat-Bulk.

Unit cell a=5.7293 b=5.7293 c=11.1904 alpha=90.00 beta=90.00 gamma=120.00
Closest atoms and distances in Å follow each position.
Fractional coordinates of all 20 atoms:
Ni 0.5000 0.5000 0.0000  2 Si 2.27
Ni 0.1387 0.2775 0.7500  2 Si 2.30, 2 Ni 2.38
Ni 0.5000 0.5000 0.5000  2 Si 2.27
Ni 0.8613 0.1387 0.2500  2 Si 2.30, 2 Ni 2.38
Ni 0.0000 0.5000 0.0000  2 Si 2.27
Ni 0.5000 0.0000 0.0000  2 Si 2.27
Ni 0.8613 0.7225 0.2500  2 Si 2.30, 2 Ni 2.38
Ni 0.0000 0.5000 0.5000  2 Si 2.27
Ni 0.5000 0.0000 0.5000  2 Si 2.27
Ni 0.7225 0.8613 0.7500  2 Si 2.30, 2 Ni 2.38
Ni 0.2775 0.1387 0.2500  2 Si 2.30, 2 Ni 2.38
Ni 0.1387 0.8613 0.7500  2 Si 2.30, 2 Ni 2.38
Nd 0.0000 0.0000 0.5000  12 Ni 2.86-3.12
Nd 0.3333 0.6667 0.2500  6 Ni 2.88
Nd 0.0000 0.0000 0.0000  12 Ni 2.86-3.12
Nd 0.6667 0.3333 0.7500  6 Ni 2.88
Si 0.6667 0.3333 0.1390  6 Ni 2.27-2.30, 1 Si 2.49
Si 0.3333 0.6667 0.8610  6 Ni 2.27-2.30, 1 Si 2.49
Si 0.3333 0.6667 0.6390  6 Ni 2.27-2.30, 1 Si 2.49
Si 0.6667 0.3333 0.3610  6 Ni 2.27-2.30, 1 Si 2.49

Distance to the lowest polymorph of the same formula   0.0 kJ per mole of atoms
SG   No. 194
Total magnetic moment   0.0000 μB/atom

Record 5
First-principles (GGA-PBE) data for NdSi2Ni4 after structural relaxation, as listed in Alexandria via LeMat-Bulk.

Unit cell a=3.6635 b=7.3266 c=7.3266 alpha=90.00 beta=90.00 gamma=90.00
Closest atoms and distances in Å follow each position.
Fractional coordinates of all 14 atoms:
Ni 0.0000 0.6587 0.9149  3 Si 2.36-2.42, 5 Ni 2.61-2.64
Ni 0.5000 0.1587 0.5851  3 Si 2.36-2.42, 5 Ni 2.61-2.64
Ni 0.5000 0.8413 0.4149  3 Si 2.36-2.42, 5 Ni 2.61-2.64
Ni 0.0000 0.3413 0.0851  3 Si 2.36-2.42, 5 Ni 2.61-2.64
Ni 0.5000 0.4149 0.8413  3 Si 2.36-2.42, 5 Ni 2.61-2.64
Ni 0.0000 0.9149 0.6587  3 Si 2.36-2.42, 5 Ni 2.61-2.64
Ni 0.5000 0.5851 0.1587  3 Si 2.36-2.42, 5 Ni 2.61-2.64
Ni 0.0000 0.0851 0.3413  3 Si 2.36-2.42, 5 Ni 2.61-2.64
Si 0.0000 0.2231 0.7769  6 Ni 2.36-2.42
Si 0.5000 0.2769 0.2769  6 Ni 2.36-2.42
Si 0.0000 0.7769 0.2231  6 Ni 2.36-2.42
Si 0.5000 0.7231 0.7231  6 Ni 2.36-2.42
Nd 0.0000 0.5000 0.5000  6 Si 2.87-2.95, 8 Ni 3.16
Nd 0.5000 0.0000 0.0000  6 Si 2.87-2.95, 8 Ni 3.16

Distance to the lowest polymorph of the same formula   0.0 kJ per mole of atoms
SG   No. 136
Total magnetic moment   0.0000 μB/atom

Record 6
First-principles (GGA-PBE) data for Nd6Si3Ni2 after structural relaxation, as listed in Alexandria via LeMat-Bulk.

Unit cell a=4.4952 b=11.6808 c=11.7581 alpha=61.13 beta=90.00 gamma=90.00
Closest atoms and distances in Å follow each position.
Fractional coordinates of all 22 atoms:
Si 0.5000 0.6668 0.6651  3 Si 2.43
Si 0.5000 0.8426 0.4418  1 Si 2.43
Si 0.0000 0.3334 0.3276  2 Ni 2.40, 1 Si 2.52
Si 0.5000 0.4398 0.7133  1 Si 2.43
Si 0.0000 0.1579 0.5619  1 Si 2.52
Si 0.5000 0.7200 0.8411  1 Si 2.43
Nd 0.0000 0.8618 0.6246  7 Si 3.07-3.19
Nd 0.0000 0.9861 0.2403  3 Ni 2.92-3.16, 2 Si 3.10
Nd 0.0000 0.2399 0.7808  2 Ni 3.01, 3 Si 3.06-3.15
Nd 0.5000 0.3811 0.4808  5 Si 3.09-3.22, 2 Ni 3.26
Nd 0.0000 0.6197 0.5126  6 Si 3.09-3.23, 1 Ni 3.26
Nd 0.5000 0.0176 0.7629  2 Ni 2.98, 3 Si 3.10-3.14
Nd 0.0000 0.7764 0.9864  3 Ni 2.94-3.04, 2 Si 3.08
Nd 0.5000 0.4768 0.1363  3 Si 3.05-3.26, 4 Ni 3.10-3.15
Nd 0.5000 0.2317 0.0203  4 Ni 2.96-3.02, 1 Si 3.24
Nd 0.0000 0.5179 0.8599  6 Si 3.08-3.22, 1 Ni 3.15
Nd 0.5000 0.1303 0.3876  5 Si 3.09-3.16, 2 Ni 3.37
Nd 0.5000 0.7526 0.2277  4 Ni 3.01-3.04, 1 Si 3.16
Ni 0.0000 0.5611 0.2681  1 Si 2.40
Ni 0.2524 0.9988 0.0061  2 Ni 2.23-2.27
Ni 0.0000 0.2888 0.1487  1 Si 2.40
Ni 0.7476 0.9988 0.0061  2 Ni 2.23-2.27

SG   No. 6
Total magnetic moment   0.0000 μB/atom
Raw total energy   -123.5 eV for the cell shown

Record 7
First-principles (GGA-PBE) data for Nd2SiNi after structural relaxation, as listed in Alexandria via LeMat-Bulk.

Unit cell a=4.1496 b=4.2491 c=5.7026 alpha=111.87 beta=90.00 gamma=90.00
Closest atoms and distances in Å follow each position.
Fractional coordinates of all 4 atoms:
Nd 0.5000 0.2657 0.5315  3 Ni 3.00-3.17, 4 Si 3.09
Nd 0.0000 0.9820 0.9639  3 Si 3.03-3.13, 4 Ni 3.10
Ni 0.5000 0.5657 0.1314  2 Si 2.43
Si 0.0000 0.6858 0.3717  2 Ni 2.43

SG   No. 38
Total magnetic moment   0.0000 μB/atom
Raw total energy   -22.9 eV for the cell shown

Record 8
First-principles (GGA-PBE) data for Nd2Si5Ni3 after structural relaxation, as listed in Alexandria via LeMat-Bulk.

Unit cell a=8.0109 b=8.0109 c=8.0109 alpha=137.89 beta=105.55 gamma=89.43
Closest atoms and distances in Å follow each position.
Fractional coordinates of all 20 atoms:
Si 0.4620 0.6092 0.8528  3 Ni 2.35-2.38, 2 Si 2.49
Si 0.5380 0.3908 0.1472  3 Ni 2.35-2.38, 2 Si 2.49
Si 0.0000 0.2500 0.2500  4 Ni 2.35
Si 0.7368 0.9868 0.2500  2 Ni 2.33, 2 Si 2.49
Si 0.2632 0.5132 0.2500  2 Ni 2.33, 2 Si 2.49
Si 0.7565 0.1092 0.6472  3 Ni 2.35-2.38, 2 Si 2.49
Si 0.2435 0.8908 0.3528  3 Ni 2.35-2.38, 2 Si 2.49
Si 0.2632 0.0132 0.7500  2 Ni 2.33, 2 Si 2.49
Si 0.0000 0.7500 0.7500  4 Ni 2.35
Si 0.7368 0.4868 0.7500  2 Ni 2.33, 2 Si 2.49
Ni 0.0213 0.1328 0.8885  5 Si 2.33-2.35
Ni 0.9787 0.8672 0.1115  5 Si 2.33-2.35
Ni 0.5000 0.7500 0.2500  4 Si 2.38
Ni 0.7556 0.3672 0.3885  5 Si 2.33-2.35
Ni 0.5000 0.2500 0.7500  4 Si 2.38
Ni 0.2444 0.6328 0.6115  5 Si 2.33-2.35
Nd 0.3686 0.1300 0.2386  10 Si 2.94-3.16, 6 Ni 3.07-3.27
Nd 0.1086 0.3700 0.7386  10 Si 2.94-3.16, 6 Ni 3.07-3.27
Nd 0.8914 0.6300 0.2614  10 Si 2.94-3.16, 6 Ni 3.07-3.27
Nd 0.6314 0.8700 0.7614  10 Si 2.94-3.16, 6 Ni 3.07-3.27

SG   No. 72
Total magnetic moment   0.0000 μB/atom
Raw total energy   -123.4 eV for the cell shown